No. 1
Hg3BrF3: optimized geometry, GGA-PBE.

Lattice parameters (Å, degrees): 6.7205 6.7205 8.8916 67.80 67.80 60.00
Positions (direct):
Hg 0.2371 0.8219 0.7033
Hg 0.7623 0.7629 0.2967
F 0.6404 0.6409 0.6183
Br 0.6423 0.6423 0.0731
F 0.1004 0.6404 0.6183
Hg 0.8219 0.2377 0.7033
F 0.3591 0.8996 0.3817
F 0.3596 0.3591 0.3817
Hg 0.2377 0.2371 0.7033
F 0.6409 0.1004 0.6183
Hg 0.1781 0.7623 0.2967
F 0.8996 0.3596 0.3817
Hg 0.7629 0.1781 0.2967
Br 0.3577 0.3577 0.9269

N(E_F) ... 0.0000 states/eV/atom
E_form (uncorrected) ... -1.023 eV per atom
E_tot ... -2.194 eV per atom



No. 2
Hg2Br2F: optimized geometry, GGA-PBE.

Lattice parameters (Å, degrees): 4.2114 5.9644 6.4647 117.36 90.31 90.44
Positions (direct):
Br 0.1257 0.8491 0.1969
Br 0.8743 0.1509 0.8031
F 0.5000 0.5000 0.5000
Hg 0.0066 0.6234 0.7452
Hg 0.9934 0.3766 0.2548

N(E_F) ... 0.2405 states/eV/atom
E_form (uncorrected) ... -0.588 eV per atom
E_tot ... -1.752 eV per atom
Energy above the lowest structure with this stoichiometry ... 132 meV per atom



No. 3
Hg2BrF2: optimized geometry, GGA-PBE.

Lattice parameters (Å, degrees): 6.2206 6.3056 6.7660 75.95 83.06 63.54
Positions (direct):
Br 0.4865 0.3371 0.9396
Br 0.7408 0.7853 0.5732
Hg 0.0372 0.0278 0.3860
Hg 0.1610 0.7624 0.0700
F 0.1761 0.3390 0.3637
F 0.1446 0.9930 0.7223
Hg 0.5182 0.7788 0.2645
F 0.8218 0.7429 0.0326
Hg 0.3659 0.2521 0.6388
F 0.6698 0.3422 0.3746

N(E_F) ... 0.0000 states/eV/atom
E_form (uncorrected) ... -0.991 eV per atom
E_tot ... -2.194 eV per atom
Energy above the lowest structure with this stoichiometry ... 44 meV per atom



No. 4
Hg2BrF: optimized geometry, GGA-PBE.

Lattice parameters (Å, degrees): 4.0816 5.7454 6.2028 115.11 90.28 103.27
Positions (direct):
Hg 0.8963 0.7790 0.6381
Br 0.4300 0.1519 0.8968
F 0.9754 0.0124 0.3722
Hg 0.4403 0.3222 0.4586

N(E_F) ... 0.0000 states/eV/atom
E_form (uncorrected) ... -0.758 eV per atom
E_tot ... -1.795 eV per atom
Energy above the lowest structure with this stoichiometry ... 24 meV per atom



No. 5
Hg3BrF4: optimized geometry, GGA-PBE.

Lattice parameters (Å, degrees): 6.4320 7.2981 8.3897 108.23 90.00 116.15
Positions (direct):
F 0.1015 0.5842 0.8321
Br 0.3091 0.9856 0.2132
Br 0.6765 0.9856 0.7132
Hg 0.6695 0.3683 0.8689
F 0.7009 0.7201 0.0376
Hg 0.9856 0.8693 0.8502
F 0.2749 0.2413 0.9313
Hg 0.2884 0.5739 0.5832
F 0.5478 0.4371 0.6334
Hg 0.2855 0.5739 0.0832
Hg 0.6987 0.3683 0.3689
Hg 0.8838 0.8693 0.3502
F 0.4826 0.5842 0.3321
F 0.9665 0.2413 0.4313
F 0.8893 0.4371 0.1334
F 0.0192 0.7201 0.5376

N(E_F) ... 0.1394 states/eV/atom
E_form (uncorrected) ... -1.106 eV per atom
E_tot ... -2.363 eV per atom



No. 6
Hg3Br5F: optimized geometry, GGA-PBE.

Lattice parameters (Å, degrees): 10.9630 7.6691 10.1703 65.82 69.29 76.58
Positions (direct):
Hg 0.6362 0.6722 0.8320
Hg 0.3638 0.3278 0.1680
Br 0.1766 0.2085 0.9099
Br 0.9769 0.6566 0.6625
Br 0.3313 0.6254 0.9531
Br 0.6427 0.4893 0.5949
Br 0.8234 0.7915 0.0901
Hg 0.0000 0.0000 0.5000
Br 0.3621 0.0054 0.3714
Br 0.6379 0.9946 0.6286
Hg 0.8089 0.7076 0.4141
F 0.9485 0.9074 0.2972
Hg 0.0000 0.0000 0.0000
Br 0.0231 0.3434 0.3375
Br 0.6687 0.3746 0.0469
Hg 0.1911 0.2924 0.5859
F 0.0515 0.0926 0.7028
Br 0.3573 0.5107 0.4051

N(E_F) ... 0.0000 states/eV/atom
E_form (uncorrected) ... -0.591 eV per atom
E_tot ... -1.829 eV per atom



No. 7
Hg3BrF: optimized geometry, GGA-PBE.

Lattice parameters (Å, degrees): 5.8083 5.8083 5.8083 90.00 90.00 90.00
Positions (direct):
Hg 0.0000 0.0000 0.5000
Hg 0.5000 0.0000 0.0000
Br 0.0000 0.0000 0.0000
F 0.5000 0.5000 0.5000
Hg 0.0000 0.5000 0.0000

N(E_F) ... 0.7347 states/eV/atom
E_form (uncorrected) ... 0.033 eV per atom
E_tot ... -0.857 eV per atom
Energy above the lowest structure with this stoichiometry ... 623 meV per atom



No. 8
Hg2BrF: optimized geometry, GGA-PBE.

Lattice parameters (Å, degrees): 5.0496 6.3469 8.1142 114.24 95.29 96.65
Positions (direct):
F 0.9312 0.9542 0.6614
Hg 0.5000 0.5000 0.5000
Hg 0.2382 0.7812 0.4071
Br 0.7280 0.3225 0.0788
Hg 0.0000 0.0000 0.0000
Br 0.2720 0.6775 0.9212
F 0.0688 0.0458 0.3386
Hg 0.7618 0.2188 0.5929

N(E_F) ... 0.0000 states/eV/atom
E_form (uncorrected) ... -0.759 eV per atom
E_tot ... -1.796 eV per atom
Energy above the lowest structure with this stoichiometry ... 22 meV per atom